1.
VASP calculation (PBE-GGA) on a relaxed Na2CuTcH6 crystal.

Unit cell a=5.1891 b=5.1891 c=5.0040 alpha=118.60 beta=118.60 gamma=58.18
Positions (direct):
Na 0.2480 0.2480 0.2507
Na 0.7520 0.7520 0.7493
Cu 0.0000 0.0000 0.5000
Tc 0.5000 0.5000 0.0000
H 0.2367 0.7534 0.7434
H 0.2466 0.7633 0.2566
H 0.2610 0.2610 0.7595
H 0.7390 0.7390 0.2405
H 0.7534 0.2367 0.7434
H 0.7633 0.2466 0.2566

Results
The value obtained for the calculated volume is 96 Å³ per cell. As for the symmetry: C2/m (12). The uncorrected energy comes out at -3.657 eV/atom.

***

2.
VASP calculation (PBE-GGA) on a relaxed NaCu2TeH crystal.

Unit cell a=4.1047 b=4.1047 c=4.4673 alpha=90.00 beta=90.00 gamma=90.00
Positions (direct):
Na 0.0000 0.0000 0.0000
Cu 0.0000 0.5000 0.5000
Cu 0.5000 0.0000 0.5000
Te 0.5000 0.5000 0.0000
H 0.0000 0.0000 0.5000

Results
The value obtained for the calculated volume is 75 Å³ per cell. As for the symmetry: P4/mmm (123). The uncorrected energy comes out at -3.144 eV/atom.

***

3.
VASP calculation (PBE-GGA) on a relaxed NaTi2CuH crystal.

Unit cell a=3.9686 b=3.9686 c=4.4917 alpha=90.00 beta=90.00 gamma=90.00
Positions (direct):
Na 0.0000 0.0000 0.0000
Ti 0.0000 0.5000 0.5000
Ti 0.5000 0.0000 0.5000
Cu 0.5000 0.5000 0.0000
H 0.0000 0.0000 0.5000

Results
The value obtained for the calculated volume is 71 Å³ per cell. As for the symmetry: P4/mmm (123). The uncorrected energy comes out at -4.656 eV/atom.